<i>
# PBE YTmAsO, optimized geometry
data_YTmAsO
_chemical_formula_sum 'Y2 Tm2 As2 O2'
_space_group_name_H-M_alt 'P m c 21'
_space_group_IT_number 26
_cell_length_a 4.0995
_cell_length_b 7.6718
_cell_length_c 5.7596
_cell_angle_alpha 90.00
_cell_angle_beta 90.00
_cell_angle_gamma 90.00
loop_
_space_group_symop_operation_xyz
'x,y,z'
'-x,-y,z+1/2'
'-x,y,z'
'x,-y,z+1/2'
loop_
_atom_site_label
_atom_site_fract_x
_atom_site_fract_y
_atom_site_fract_z
_atom_site_occupancy
Y1 0.0000 0.1176 0.0000 1
Tm1 0.5000 0.2856 0.4391 1
As1 0.5000 0.3501 0.9307 1
O1 0.0000 0.1744 0.3868 1
# Total magnetization = 0.01 μB per formula unit

---

<ii>
# PBE YTmAsO, optimized geometry
data_YTmAsO
_chemical_formula_sum 'Y2 Tm2 As2 O2'
_space_group_name_H-M_alt 'P 4/n m m'
_space_group_IT_number 129
_cell_length_a 4.3144
_cell_length_b 4.3144
_cell_length_c 8.7177
_cell_angle_alpha 90.00
_cell_angle_beta 90.00
_cell_angle_gamma 90.00
loop_
_space_group_symop_operation_xyz
'x,y,z'
'-x,-y,-z'
'-y+1/2,x,z'
'y+1/2,-x,-z'
'-x+1/2,-y+1/2,z'
'x+1/2,y+1/2,-z'
'y,-x+1/2,z'
'-y,x+1/2,-z'
'x+1/2,-y,-z'
'-x+1/2,y,z'
'-y,-x,-z'
'y,x,z'
'-x,y+1/2,-z'
'x,-y+1/2,z'
'y+1/2,x+1/2,-z'
'-y+1/2,-x+1/2,z'
loop_
_atom_site_label
_atom_site_fract_x
_atom_site_fract_y
_atom_site_fract_z
_atom_site_occupancy
Y1 0.2500 0.2500 0.1029 1
Tm1 0.2500 0.7500 0.5000 1
As1 0.2500 0.2500 0.7021 1
O1 0.2500 0.7500 0.0000 1
# Total magnetization = 0.00 μB per formula unit

---

Question: of the structures shown, which is the least stable? Reply: <ii>.